(1)
A plane-wave DFT calculation with GGA-PBE was carried out for a geometry-optimized PmSm3Cu3 structure.

## Properties
Fermi-level density of states = 12.54 states/eV/cell
E_tot = -4.550 eV/atom
volume = 25.102 Å³/atom
spin magnetization = 0.00 μB/f.u.
energy of formation = -93.5 meV/atom

a b c (Å): 7.200 7.200 7.059
angles (deg): 101.26 101.26 90.92
Element x y z (fractional)
Pm 0.237 0.237 0.465
Pm 0.763 0.763 0.535
Sm 0.157 0.157 0.921
Sm 0.242 0.758 0.500
Sm 0.322 0.678 0.000
Sm 0.678 0.322 0.000
Sm 0.758 0.242 0.500
Sm 0.843 0.843 0.079
Cu 0.049 0.481 0.188
Cu 0.448 0.448 0.295
Cu 0.481 0.049 0.188
Cu 0.519 0.951 0.812
Cu 0.552 0.552 0.705
Cu 0.951 0.519 0.812

(2)
A plane-wave DFT calculation with GGA-PBE was carried out for a geometry-optimized Pm2SmCu structure.

## Properties
Fermi-level density of states = 5.07 states/eV/cell
E_tot = -4.639 eV/atom
volume = 28.469 Å³/atom
spin magnetization = 0.00 μB/f.u.
ΔE to the lowest computed polymorph = 6.9 meV per atom
energy of formation = -59.6 meV/atom

a b c (Å): 3.609 3.609 8.744
angles (deg): 90.00 90.00 90.00
Element x y z (fractional)
Pm 0.000 0.000 0.198
Pm 0.000 0.000 0.802
Sm 0.500 0.500 0.500
Cu 0.500 0.500 0.000